(1)
Ce3Mg2Rh3, optimized geometry, DFT GGA-PBE; DOS at the Fermi energy = 1.697 states/eV/atom; formation energy from the elements = -0.5705 eV/atom; E = -5.95 eV per atom; SG = Cmcm, No. 63; M_tot = 0.213 μB per atom; theoretical density = 7441 kg/m³
1.0
-0.3916 3.4818 -1.8806
-5.3926 -0.9919 3.4908
5.8975 6.5964 10.9849
Ce Rh Mg
6 6 4
Cartesian
3.0656 4.1705 7.0832
4.5965 5.8828 9.9346
-0.5391 3.6336 2.6355
-2.9522 4.9158 5.5119
0.6524 5.4527 9.9596
-4.4831 3.2035 2.6605
1.3808 4.8094 4.4125
2.4625 6.9248 8.1038
1.0208 6.8364 12.4447
-1.2675 4.2770 8.1826
-2.3492 2.1616 4.4913
-0.9074 2.2500 0.1504
0.2471 5.9332 6.7293
-0.1338 3.1532 5.8658
-2.1913 0.8519 2.0336
2.3046 8.2344 10.5615


(2)
DyHo3Tm6Th2, optimized geometry, DFT GGA-PBE; DOS at the Fermi energy = 1.367 states/eV/atom; formation energy from the elements = 0.0247 eV/atom; E = -4.98 eV per atom; SG = C2/m, No. 12; M_tot = 0.000 μB per atom; theoretical density = 9604 kg/m³
1.0
-1.6007 -2.3155 5.4147
5.8789 0.1541 -1.6304
-0.3856 11.0810 3.4750
Th Ho Tm Dy
2 3 6 1
Cartesian
0.8921 -1.4924 3.0667
3.3860 -0.6689 0.7176
1.9463 4.4599 3.6297
-0.5493 3.6359 5.9803
4.4419 5.2839 1.2790
2.2417 2.6266 0.6305
0.7954 7.7749 3.5699
3.0971 1.1448 3.6894
4.1707 7.1252 4.2554
-0.2781 1.7946 3.0040
1.6508 6.2932 6.6288
0.0000 0.0000 0.0000


(3)
DyYTmAl, optimized geometry, DFT GGA-PBE; DOS at the Fermi energy = 1.001 states/eV/atom; formation energy from the elements = -0.1962 eV/atom; E = -5.02 eV per atom; SG = P4mm, No. 99; relative energy among the computed polymorphs = 0 meV per atom; M_tot = 0.000 μB per atom; theoretical density = 6763 kg/m³
1.0
3.5015 0.0000 0.0000
0.0000 3.5015 0.0000
0.0000 0.0000 8.9577
Y Dy Tm Al
1 1 1 1
Cartesian
1.7507 1.7507 7.0233
0.0000 0.0000 0.6808
1.7507 1.7507 3.1990
0.0000 0.0000 5.0837


(4)
YPd9Au2, optimized geometry, DFT GGA-PBE; DOS at the Fermi energy = 1.024 states/eV/atom; formation energy from the elements = -0.3088 eV/atom; E = -5.29 eV per atom; SG = P4/mmm, No. 123; M_tot = 0.000 μB per atom; theoretical density = 12029 kg/m³
1.0
4.0539 0.0000 0.0000
0.0000 4.0539 0.0000
0.0000 0.0000 12.1010
Pd Au Y
9 2 1
Cartesian
2.0269 2.0269 4.0666
2.0269 2.0269 0.0000
2.0269 2.0269 8.0344
0.0000 2.0269 6.0505
0.0000 2.0269 2.0948
2.0269 0.0000 10.0062
2.0269 0.0000 2.0948
2.0269 0.0000 6.0505
0.0000 2.0269 10.0062
0.0000 0.0000 8.0068
0.0000 0.0000 4.0942
0.0000 0.0000 0.0000


(5)
MnAg2Te, optimized geometry, DFT GGA-PBE; DOS at the Fermi energy = 0.525 states/eV/atom; E = -4.27 eV per atom; SG = Imm2, No. 44; M_tot = 1.076 μB per atom; E_form (uncorrected) = 235 meV/atom; theoretical density = 8291 kg/m³
1.0
-5.0213 1.2206 1.2384
-1.1911 -1.6877 4.8959
4.0741 2.8412 -1.8883
Ag Te Mn
2 1 1
Cartesian
-2.0548 1.9120 1.2363
-6.2119 -0.4670 6.1337
-0.0798 0.4624 3.0059
-3.1104 -0.2338 3.0713


(6)
UInCuTe3, optimized geometry, DFT GGA-PBE; DOS at the Fermi energy = 0.923 states/eV/atom; E = -5.01 eV per atom; SG = Cmcm, No. 63; M_tot = 0.333 μB per atom; E_form (uncorrected) = -422 meV/atom; theoretical density = 7167 kg/m³
1.0
4.2350 0.0000 0.0000
-2.1175 7.8072 0.0000
0.0000 0.0000 11.2002
Cu Te In U
2 6 2 2
Cartesian
0.0000 7.3511 8.4002
2.1175 0.4561 2.8001
0.0000 5.7170 6.3254
0.0000 5.7170 10.4749
0.0000 1.1695 8.4002
2.1175 2.0903 4.8748
2.1175 6.6378 2.8001
2.1175 2.0903 0.7253
2.1175 4.0363 8.4002
0.0000 3.7709 2.8001
0.0000 0.0000 0.0000
0.0000 0.0000 5.6001


(7)
Sc3TlO, optimized geometry, DFT GGA-PBE; DOS at the Fermi energy = 0.601 states/eV/atom; E = -6.33 eV per atom; SG = Fd-3m, No. 227; M_tot = 0.275 μB per atom; E_form (uncorrected) = -1065 meV/atom; theoretical density = 5544 kg/m³
1.0
2.1642 -8.1514 -0.3953
-0.1563 -4.7524 6.9768
-5.8910 -5.9805 0.9030
Sc O Tl
12 4 4
Cartesian
-3.0628 -12.3877 1.7107
-0.8203 -6.4966 5.7738
0.5391 -11.6164 5.5256
-2.4396 -3.4336 0.8152
-1.6347 -6.4652 0.6682
-4.4222 -7.2679 1.9589
-0.3068 -2.9769 3.0741
0.5562 -4.2410 0.3323
-4.5204 -10.2528 6.3410
-2.4978 -5.2011 3.4099
0.6373 -8.6314 1.1435
0.4981 -6.0085 2.9271
-3.4309 -5.3508 1.3871
-0.5636 -4.7367 4.4240
0.5967 -6.4362 0.7379
-0.4854 -2.3605 0.9356
-2.4270 -11.8027 4.6778
0.5186 -8.8124 4.2263
-3.5091 -7.7270 4.8755
-2.3488 -9.4265 1.1894


(8)
YRhCl, optimized geometry, DFT GGA-PBE; DOS at the Fermi energy = 0.299 states/eV/atom; E = -6.06 eV per atom; SG = P3m1, No. 156; M_tot = 0.000 μB per atom; E_form (uncorrected) = -841 meV/atom; theoretical density = 5232 kg/m³
1.0
-1.3215 1.8122 2.7591
-2.1959 -1.6316 -2.2713
0.2321 -5.4511 3.6915
Y Cl Rh
1 1 1
Cartesian
-1.7508 -4.0941 1.8505
0.2199 -5.1661 3.4985
-1.5225 -1.4614 2.5218


> Which formula does entry 1 have?

Ce3Mg2Rh3


> Which value of theoretical density does entry 5 give?

8291 kg/m³


> What is the theoretical density in the third record?

6763 kg/m³